Record 1
First-principles (GGA-PBE) data for a relaxed structure of NaZr2Cu2, as listed in Alexandria.

POSCAR file:
```
NaZr2Cu2
1.0
8.104 0.000 0.000
0.000 8.104 0.000
0.000 0.000 2.901
Na Cu Zr
2 4 4
Cartesian
0.000 0.000 0.000
4.052 4.052 0.000
3.036 7.087 0.000
7.087 5.068 0.000
5.068 1.016 0.000
1.016 3.036 0.000
1.343 5.395 1.450
5.395 6.760 1.450
6.760 2.709 1.450
2.709 1.343 1.450
```

Properties
The energy comes out at -5.199 eV per atom. Its energy of formation is 0.615 eV per formula unit. Its space group is P4/mbm, No. 127. The total magnetization is 0.00 μB/f.u.



Record 2
First-principles (GGA-PBE) data for a relaxed structure of Nb3Cu, as listed in Alexandria.

POSCAR file:
```
Nb3Cu
1.0
-4.074 1.009 -1.828
-1.716 -2.609 -3.348
-3.608 -2.696 0.820
Nb Cu
3 1
Cartesian
-2.349 -1.074 -1.089
-7.048 -3.222 -3.266
-4.699 -2.148 -2.178
0.000 0.000 0.000
```

Properties
The energy comes out at -8.429 eV per atom. Its energy of formation is 0.591 eV per formula unit. Its space group is Fm-3m, No. 225. The total magnetization is 0.00 μB/f.u.



Record 3
First-principles (GGA-PBE) data for a relaxed structure of Nb3Cu, as listed in Alexandria.

POSCAR file:
```
Nb3Cu
1.0
-2.078 1.192 1.232
-1.932 -4.757 1.342
4.499 1.919 2.789
Nb Cu
3 1
Cartesian
0.675 -1.461 2.552
-2.014 -1.804 1.293
0.502 1.507 2.334
-0.034 -0.085 0.024
```

Properties
The energy comes out at -8.412 eV per atom. Its energy of formation is 0.657 eV per formula unit. Its space group is Imm2, No. 44. The total magnetization is 0.00 μB/f.u.



Record 4
First-principles (GGA-PBE) data for a relaxed structure of NbCu4, as listed in Alexandria.

POSCAR file:
```
NbCu4
1.0
4.751 0.000 0.000
0.000 4.751 0.000
0.000 0.000 4.751
Nb Cu
1 4
Cartesian
2.375 2.375 2.375
0.000 0.000 0.000
2.375 0.000 2.375
0.000 2.375 2.375
2.375 2.375 0.000
```

Properties
The energy comes out at -3.663 eV per atom. Its energy of formation is 8.141 eV per formula unit. Its space group is Pm-3m, No. 221. The total magnetization is 0.00 μB/f.u.